# MnFeF2

An optimized crystal structure of MnFeF2 (PBE with a Hubbard U, Alexandria via LeMat-Bulk).

Output
Its space-group type is I-42d (122). The calculation puts the energy relative to the lowest polymorph listed for this composition at 106 meV per atom.

abc: 5.0863 5.0863 6.2497
angles: 65.99 65.99 90.00
With the nearest neighbours (Å) after each atom.
Atoms (fractional coordinates):
1 F 0.3750 0.3837 0.7500  2 Mn 2.18, 2 Fe 2.23
2 Mn 0.2500 0.7500 0.5000  4 F 2.18
3 Mn 0.5000 0.5000 0.0000  4 F 2.18
4 F 0.8750 0.8663 0.7500  2 Mn 2.18, 2 Fe 2.23
5 F 0.1337 0.6250 0.2500  2 Mn 2.18, 2 Fe 2.23
6 F 0.6163 0.1250 0.2500  2 Mn 2.18, 2 Fe 2.23
7 Fe 0.0000 0.0000 0.0000  4 F 2.23
8 Fe 0.7500 0.2500 0.5000  4 F 2.23